No. 1
A relaxed Y2CuSe crystal. Source: Alexandria via LeMat-Bulk, functional PBE.

## Properties
**E_tot**: -24.19 eV/cell
**DOS at the Fermi energy**: 3.5 states/eV per cell

Structure (CIF):
```
data_Y2CuSe
_cell_length_a 4.0630
_cell_length_b 4.0630
_cell_length_c 5.8201
_cell_angle_alpha 90.00
_cell_angle_beta 90.00
_cell_angle_gamma 90.00
_space_group_name_H-M_alt 'P 4/m m m'
_space_group_IT_number 123
_space_group_name_Hall '-P 4 2'
loop_
_atom_site_label
_atom_site_type_symbol
_atom_site_fract_x
_atom_site_fract_y
_atom_site_fract_z
_atom_site_occupancy
Y1 Y 0.0000 0.0000 0.0000 1
Y2 Y 0.5000 0.5000 0.5000 1
Cu1 Cu 0.0000 0.0000 0.5000 1
Se1 Se 0.5000 0.5000 0.0000 1
```


No. 2
A relaxed Ca2PIr crystal. Source: Alexandria via LeMat-Bulk, functional PBE.

## Properties
**E_tot**: -38.08 eV/cell
**DOS at the Fermi energy**: 7.6 states/eV per cell

Structure (CIF):
```
data_Ca2PIr
_cell_length_a 7.4345
_cell_length_b 3.0608
_cell_length_c 7.8800
_cell_angle_alpha 90.00
_cell_angle_beta 98.58
_cell_angle_gamma 90.00
_space_group_name_H-M_alt 'C 1 2/m 1'
_space_group_IT_number 12
_space_group_name_Hall '-C 2y'
loop_
_atom_site_label
_atom_site_type_symbol
_atom_site_fract_x
_atom_site_fract_y
_atom_site_fract_z
_atom_site_occupancy
Ca1 Ca 0.2461 0.0000 0.2432 1
P1 P 0.0000 0.5000 0.0000 1
Ir1 Ir 0.0000 0.0000 0.5000 1
```